Here is a relaxed structure of WN2F2 from the Alexandria database. Energies are from PBE+U.

As for the magnetization: 1.495 μB per formula unit. As for the electronic total energy: -28.25 eV/cell. The value obtained for the energy relative to the lowest polymorph listed for this composition is 0 meV per atom.

It has space group P4/mmm (No. 123), with a = 3.949 Å, b = 3.949 Å, c = 4.056 Å, α = 90.00°, β = 90.00° and γ = 90.00°. Symmetry generates all atoms from W at (0.000, 0.000, 0.000), N at (0.000, 0.500, 0.000), F at (0.000, 0.000, 0.500) and F at (0.500, 0.500, 0.500).